Entry from Alexandria via LeMat-Bulk: crystalline CdCu2Os at its relaxed geometry (PBE).

abc: 2.828 2.828 7.267
angles: 90.00 90.00 90.00
Element x y z (fractional)
Cd (0.000, 0.000, 0.000)
Cu (0.000, 0.000, 0.479)
Cu (0.500, 0.500, 0.271)
Os (0.500, 0.500, 0.705)

Summary:
The calculation puts the formation energy at 0.39 eV/atom. The density of states at the Fermi level is 3.58 states/eV/f.u.